(1)
A plane-wave DFT calculation with PBE was carried out for LiNdThTl after structural relaxation.

a b c (Å): 7.6755 7.6755 7.6755
angles (deg): 90.00 90.00 90.00
Last column: nearest neighbours and their distance in Å.
Space group F-43m (No. 216)
Inequivalent atoms, fractional coordinates:
Li 0.0000 0.0000 0.0000 [4 per cell]  4 Th 3.32, 4 Nd 3.32
Nd 0.2500 0.2500 0.7500 [4 per cell]  4 Li 3.32, 4 Tl 3.32
Th 0.2500 0.2500 0.2500 [4 per cell]  4 Tl 3.32, 4 Li 3.32
Tl 0.0000 0.0000 0.5000 [4 per cell]  4 Nd 3.32, 4 Th 3.32

Values from the calculation:
Calculated total energy in eV per atom: -4.159
Total magnetization in μB/f.u.: 0.00
Energy of formation from the pure elements in eV/f.u.: -0.17
N(E_F) in states/eV/f.u.: 3.8

=====

(2)
A plane-wave DFT calculation with PBE was carried out for LiNdThZn after structural relaxation.

a b c (Å): 7.3869 7.3869 7.3869
angles (deg): 90.00 90.00 90.00
Last column: nearest neighbours and their distance in Å.
Space group F-43m (No. 216)
Inequivalent atoms, fractional coordinates:
Li 0.0000 0.0000 0.0000 [4 per cell]  4 Th 3.20, 4 Nd 3.20
Nd 0.2500 0.2500 0.2500 [4 per cell]  4 Li 3.20, 4 Zn 3.20
Th 0.2500 0.2500 0.7500 [4 per cell]  4 Li 3.20, 4 Zn 3.20
Zn 0.0000 0.0000 0.5000 [4 per cell]  4 Nd 3.20, 4 Th 3.20

Values from the calculation:
Calculated total energy in eV per atom: -3.862
Total magnetization in μB/f.u.: 0.00
Energy of formation from the pure elements in eV/f.u.: -0.07
N(E_F) in states/eV/f.u.: 3.5

=====

(3)
A plane-wave DFT calculation with PBE was carried out for Li2NdTl2 after structural relaxation.

a b c (Å): 5.1811 4.9702 9.9662
angles (deg): 90.00 104.26 90.00
Last column: nearest neighbours and their distance in Å.
Space group P2_1/m (No. 11)
Inequivalent atoms, fractional coordinates:
Li 0.0526 0.2500 0.0748 [2 per cell]  2 Li 2.88, 2 Tl 3.04-3.08
Li 0.1505 0.7500 0.2991 [2 per cell]  6 Tl 3.05-3.36, 2 Li 3.30
Nd 0.3452 0.7500 0.6987 [2 per cell]  6 Tl 3.12-3.25, 2 Li 3.37-3.41
Tl 0.2413 0.2500 0.4821 [2 per cell]  4 Li 3.05-3.36, 4 Nd 3.12-3.25
Tl 0.4675 0.2500 0.9065 [2 per cell]  4 Li 3.04-3.35, 2 Tl 3.08, 2 Nd 3.20

Values from the calculation:
Calculated total energy in eV per atom: -2.924
Total magnetization in μB/f.u.: 0.00
Energy of formation from the pure elements in eV/f.u.: -1.29
N(E_F) in states/eV/f.u.: 1.4
Offset from the most stable computed form in meV per atom: 0

=====

(4)
A plane-wave DFT calculation with PBE was carried out for Li2NdTl2 after structural relaxation.

a b c (Å): 9.3927 5.1083 5.2459
angles (deg): 90.00 111.58 90.00
Last column: nearest neighbours and their distance in Å.
Space group C2/m (No. 12)
Inequivalent atoms, fractional coordinates:
Li 0.1148 0.0000 0.2305 [4 per cell]  1 Li 2.58, 2 Tl 2.80-2.87
Nd 0.0000 0.5000 0.5000 [2 per cell]  6 Li 3.29-3.37, 8 Tl 3.38-3.57
Tl 0.2390 0.0000 0.8051 [4 per cell]  4 Li 2.80-2.94

Values from the calculation:
Calculated total energy in eV per atom: -2.913
Total magnetization in μB/f.u.: 0.00
Energy of formation from the pure elements in eV/f.u.: -1.24
N(E_F) in states/eV/f.u.: 2.0
Offset from the most stable computed form in meV per atom: 11

=====

(5)
A plane-wave DFT calculation with PBE was carried out for LiNdTl2 after structural relaxation.

a b c (Å): 3.8399 3.8399 25.8954
angles (deg): 90.00 90.00 120.00
Last column: nearest neighbours and their distance in Å.
Space group R3m (No. 160, hexagonal axes)
Inequivalent atoms, fractional coordinates:
Li 0.0000 0.0000 0.0000 [3 per cell]  6 Tl 2.86-2.89
Nd 0.0000 0.0000 0.1678 [3 per cell]  6 Tl 3.33-3.34
Tl 0.0000 0.0000 0.5971 [3 per cell]  3 Li 2.86
Tl 0.0000 0.0000 0.7381 [3 per cell]  3 Li 2.89

Values from the calculation:
Calculated total energy in eV per atom: -3.003
Total magnetization in μB/f.u.: 0.00
Energy of formation from the pure elements in eV/f.u.: -0.60
N(E_F) in states/eV/f.u.: 3.4
Offset from the most stable computed form in meV per atom: 186

=====

(6)
A plane-wave DFT calculation with PBE was carried out for Li2Nd3Tl5 after structural relaxation.

a b c (Å): 10.9148 10.9148 4.3632
angles (deg): 90.00 90.00 90.00
Last column: nearest neighbours and their distance in Å.
Space group P4/mbm (No. 127)
Inequivalent atoms, fractional coordinates:
Li 0.1204 0.3796 0.0000 [4 per cell]  6 Tl 2.87-2.88, 1 Nd 3.19
Nd 0.0000 0.0000 0.0000 [2 per cell]  8 Tl 3.29
Nd 0.1728 0.6728 0.0000 [4 per cell]  3 Li 3.19-3.25, 6 Tl 3.45-3.54
Tl 0.0000 0.5000 0.5000 [2 per cell]  4 Li 2.87
Tl 0.0755 0.2133 0.5000 [8 per cell]  2 Li 2.88

Values from the calculation:
Calculated total energy in eV per atom: -3.301
Total magnetization in μB/f.u.: 0.00
Energy of formation from the pure elements in eV/f.u.: -3.04
N(E_F) in states/eV/f.u.: 4.6

=====

(7)
A plane-wave DFT calculation with PBE was carried out for Li3NdTl2 after structural relaxation.

a b c (Å): 14.7346 4.6882 9.2162
angles (deg): 90.00 120.36 90.00
Last column: nearest neighbours and their distance in Å.
Space group C2/m (No. 12)
Inequivalent atoms, fractional coordinates:
Li 0.0532 0.0000 0.3957 [4 per cell]  3 Tl 2.83-2.92, 4 Li 2.86-3.03
Li 0.0930 0.5000 0.6805 [4 per cell]  3 Tl 2.81-2.88, 4 Li 2.86-3.06
Li 0.2430 0.5000 0.5700 [4 per cell]  4 Li 2.73-2.86, 3 Tl 2.97-3.03
Nd 0.1317 0.0000 0.0049 [4 per cell]  7 Tl 3.22-3.51, 3 Li 3.30-3.60
Tl 0.0601 0.5000 0.2121 [4 per cell]  4 Li 2.88-3.03, 1 Tl 3.15
Tl 0.2123 0.0000 0.7384 [4 per cell]  5 Li 2.81-2.97, 1 Tl 3.15

Values from the calculation:
Calculated total energy in eV per atom: -2.798
Total magnetization in μB/f.u.: 0.00
Energy of formation from the pure elements in eV/f.u.: -1.55
N(E_F) in states/eV/f.u.: 3.1

=====

(8)
A plane-wave DFT calculation with PBE was carried out for Li4Nd3Tl4 after structural relaxation.

a b c (Å): 4.8228 7.4590 15.2734
angles (deg): 90.00 90.00 90.00
Last column: nearest neighbours and their distance in Å.
Space group Immm (No. 71)
Inequivalent atoms, fractional coordinates:
Li 0.0000 0.1853 0.1746 [8 per cell]  1 Li 2.76, 4 Tl 2.78-2.87
Nd 0.0000 0.0000 0.3787 [4 per cell]  6 Li 3.41-3.46, 6 Tl 3.41, 1 Nd 3.71
Nd 0.0000 0.5000 0.5000 [2 per cell]  6 Tl 3.25-3.37
Tl 0.0000 0.2920 0.0000 [4 per cell]  2 Li 2.78, 1 Tl 3.10
Tl 0.0000 0.5000 0.2796 [4 per cell]  6 Li 2.84-2.87

Values from the calculation:
Calculated total energy in eV per atom: -3.133
Total magnetization in μB/f.u.: 0.00
Energy of formation from the pure elements in eV/f.u.: -3.04
N(E_F) in states/eV/f.u.: 13.4
Offset from the most stable computed form in meV per atom: 11

=====

(9)
A plane-wave DFT calculation with PBE was carried out for LiNdTl2 after structural relaxation.

a b c (Å): 5.2000 5.2000 3.9783
angles (deg): 90.00 90.00 90.00
Last column: nearest neighbours and their distance in Å.
Space group P4/mmm (No. 123)
Inequivalent atoms, fractional coordinates:
Li 0.0000 0.0000 0.0000 [1 per cell]  8 Tl 3.27
Nd 0.5000 0.5000 0.0000 [1 per cell]  8 Tl 3.27
Tl 0.0000 0.5000 0.5000 [2 per cell]  4 Li 3.27, 4 Nd 3.27

Values from the calculation:
Calculated total energy in eV per atom: -3.164
Total magnetization in μB/f.u.: 0.00
Energy of formation from the pure elements in eV/f.u.: -1.24
N(E_F) in states/eV/f.u.: 2.3
Offset from the most stable computed form in meV per atom: 25

=====

(10)
A plane-wave DFT calculation with PBE was carried out for Li4NdTl4 after structural relaxation.

a b c (Å): 6.4765 6.4765 9.9242
angles (deg): 90.00 90.00 90.00
Last column: nearest neighbours and their distance in Å.
Space group P4_2/nmc (No. 137, origin choice 2)
Inequivalent atoms, fractional coordinates:
Li 0.0332 0.2500 0.1753 [8 per cell]  3 Li 2.81-2.99, 5 Tl 2.85-2.96
Nd 0.2500 0.7500 0.2500 [2 per cell]  4 Tl 3.33, 8 Li 3.61
Tl 0.0151 0.2500 0.4623 [8 per cell]  5 Li 2.85-2.96, 1 Tl 3.04

Values from the calculation:
Calculated total energy in eV per atom: -2.612
Total magnetization in μB/f.u.: 0.00
Energy of formation from the pure elements in eV/f.u.: -1.62
N(E_F) in states/eV/f.u.: 3.3

=====

(11)
A plane-wave DFT calculation with PBE was carried out for LiNd12Tl6 after structural relaxation.

a b c (Å): 11.7883 11.7883 14.5267
angles (deg): 90.00 90.00 120.00
Last column: nearest neighbours and their distance in Å.
Space group R-3 (No. 148, hexagonal axes)
Inequivalent atoms, fractional coordinates:
Li 0.0000 0.0000 0.0000 [3 per cell]  6 Tl 3.27, 6 Nd 3.29
Nd 0.0605 0.8434 0.4076 [18 per cell]  4 Tl 3.30-3.48, 4 Nd 3.40-3.54
Nd 0.0687 0.1875 0.8172 [18 per cell]  3 Nd 3.07-3.35, 1 Tl 3.27, 1 Li 3.29
Tl 0.0305 0.4420 0.7105 [18 per cell]  9 Nd 3.27-3.64, 1 Li 3.27, 2 Tl 3.45

Values from the calculation:
Calculated total energy in eV per atom: -4.017
Total magnetization in μB/f.u.: 0.00
Energy of formation from the pure elements in eV/f.u.: -2.99
N(E_F) in states/eV/f.u.: 18.9

=====

(12)
A plane-wave DFT calculation with PBE was carried out for LiNd12Tl3 after structural relaxation.

a b c (Å): 4.9993 4.9993 20.0286
angles (deg): 90.00 90.00 90.00
Last column: nearest neighbours and their distance in Å.
Space group P4/mmm (No. 123)
Inequivalent atoms, fractional coordinates:
Li 0.0000 0.0000 0.0000 [1 per cell]  12 Nd 3.54-3.56
Nd 0.0000 0.5000 0.1263 [4 per cell]  8 Nd 3.50-3.56, 2 Tl 3.53, 2 Li 3.56
Nd 0.0000 0.5000 0.3748 [4 per cell]  4 Tl 3.53-3.54, 8 Nd 3.54-3.56
Nd 0.5000 0.5000 0.0000 [1 per cell]  4 Li 3.54, 8 Nd 3.56
Nd 0.5000 0.5000 0.2485 [2 per cell]  8 Nd 3.50-3.56, 4 Tl 3.54
Nd 0.5000 0.5000 0.5000 [1 per cell]  4 Tl 3.54, 8 Nd 3.54
Tl 0.0000 0.0000 0.2505 [2 per cell]  12 Nd 3.53-3.54
Tl 0.0000 0.0000 0.5000 [1 per cell]  12 Nd 3.54

Values from the calculation:
Calculated total energy in eV per atom: -4.253
Total magnetization in μB/f.u.: 0.00
Energy of formation from the pure elements in eV/f.u.: -1.83
N(E_F) in states/eV/f.u.: 25.1

=====

Look up the calculated total energy of the second one. -3.862 eV per atom